# 1
Material: PmDyThSc
Method: DFT, PBE-GGA
State: relaxed

The structure belongs to space group P4mm (No. 99); the cell edges are 3.559, 3.559 and 9.647 Å and the angles 90.00°, 90.00° and 90.00°. Symmetry generates all atoms from Pm at (0.000, 0.000, 0.000), Dy at (0.500, 0.500, 0.729), Th at (0.000, 0.000, 0.477) and Sc at (0.500, 0.500, 0.245).

The energy of formation is 0.0246 eV/atom. Its crystal system is tetragonal. The calculation puts the energy above the most stable polymorph in this dataset at 0 meV/atom. The value obtained for the density of states at the Fermi level is 4.5 states/eV/f.u. The total energy is -23.01 eV/cell.

---

# 2
Material: Pm2Dy4ThSc
Method: DFT, PBE-GGA
State: relaxed

The structure belongs to space group P4/mmm (No. 123); the cell edges are 5.865, 5.865 and 7.330 Å and the angles 90.00°, 90.00° and 90.00°. Symmetry generates all atoms from Pm at (0.000, 0.000, 0.000), Pm at (0.500, 0.500, 0.000), Dy at (0.000, 0.500, 0.258), Th at (0.000, 0.000, 0.500) and Sc at (0.500, 0.500, 0.500).

The energy of formation is 0.1392 eV/atom. Its crystal system is tetragonal. The value obtained for the density of states at the Fermi level is 16.1 states/eV/f.u. The total energy is -40.55 eV/cell.

---

# 3
Material: Pm2Dy5ThSc
Method: DFT, PBE-GGA
State: relaxed

The structure belongs to space group Cmc2_1 (No. 36); the cell edges are 5.665, 21.834 and 9.482 Å and the angles 90.00°, 90.00° and 90.00°. Symmetry generates all atoms from Pm at (0.000, 0.115, 0.000), Pm at (0.000, 0.134, 0.392), Dy at (0.000, 0.012, 0.694), Dy at (0.000, 0.268, 0.013), Dy at (0.000, 0.304, 0.401), Dy at (0.000, 0.393, 0.728), Dy at (0.000, 0.472, 0.431), Th at (0.000, 0.400, 0.113) and Sc at (0.000, 0.193, 0.697).

The energy of formation is 0.1715 eV/atom. Its crystal system is orthorhombic. The value obtained for the density of states at the Fermi level is 12.9 states/eV/f.u. The total energy is -178.88 eV/cell.

---

# 4
Material: Pm2DyScTl2
Method: DFT, PBE-GGA
State: relaxed

The structure belongs to space group Pmc2_1 (No. 26); the cell edges are 4.994, 9.958 and 6.939 Å and the angles 90.00°, 90.00° and 90.00°. Symmetry generates all atoms from Pm at (0.000, 0.048, 0.000), Pm at (0.500, 0.188, 0.279), Dy at (0.500, 0.454, 0.900), Sc at (0.000, 0.311, 0.609), Tl at (0.000, 0.386, 0.172) and Tl at (0.500, 0.148, 0.737).

The energy of formation is -0.2586 eV/atom. Its crystal system is orthorhombic. The value obtained for the density of states at the Fermi level is 7.0 states/eV/f.u. The total energy is -53.44 eV/cell.

---

# 5
Material: Pm2Dy2TmSc2
Method: DFT, PBE-GGA
State: relaxed

The structure belongs to space group C2/m (No. 12); the cell edges are 16.577, 3.401 and 8.520 Å and the angles 90.00°, 117.15° and 90.00°. Symmetry generates all atoms from Pm at (0.139, 0.000, 0.408), Dy at (0.083, 0.500, 0.709), Tm at (0.000, 0.500, 0.000) and Sc at (0.222, 0.500, 0.140).

The energy of formation is 0.1522 eV/atom. Its crystal system is monoclinic. The value obtained for the density of states at the Fermi level is 12.5 states/eV/f.u. The total energy is -69.55 eV/cell.

---

# 6
Material: PmDyTmSc
Method: DFT, PBE-GGA
State: relaxed

The structure belongs to space group F-43m (No. 216); the cell edges are 7.842, 7.842 and 7.842 Å and the angles 90.00°, 90.00° and 90.00°. Symmetry generates all atoms from Pm at (0.000, 0.000, 0.000), Dy at (0.000, 0.000, 0.500), Tm at (0.250, 0.250, 0.750) and Sc at (0.250, 0.250, 0.250).

The energy of formation is 0.1041 eV/atom. Its crystal system is cubic. The calculation puts the energy above the most stable polymorph in this dataset at 9 meV/atom. The value obtained for the density of states at the Fermi level is 6.1 states/eV/f.u. The total energy is -78.96 eV/cell.

---

# 7
Material: Pm2DyTm5Sc
Method: DFT, PBE-GGA
State: relaxed

The structure belongs to space group I4/mcm (No. 140); the cell edges are 8.471, 8.471 and 15.408 Å and the angles 90.00°, 90.00° and 90.00°. Symmetry generates all atoms from Pm at (0.119, 0.381, 0.000), Dy at (0.000, 0.000, 0.250), Tm at (0.000, 0.000, 0.000), Tm at (0.209, 0.291, 0.358) and Sc at (0.000, 0.500, 0.250).

The energy of formation is 0.2780 eV/atom. Its crystal system is tetragonal. The value obtained for the density of states at the Fermi level is 11.4 states/eV/f.u. The total energy is -161.16 eV/cell.

---

# 8
Material: PmDy2Tm6Sc
Method: DFT, PBE-GGA
State: relaxed

The structure belongs to space group C2/c (No. 15); the cell edges are 8.968, 14.720 and 9.316 Å and the angles 90.00°, 96.90° and 90.00°. Symmetry generates all atoms from Pm at (0.000, 0.024, 0.250), Dy at (0.246, 0.447, 0.451), Tm at (0.061, 0.188, 0.942), Tm at (0.100, 0.392, 0.115), Tm at (0.214, 0.222, 0.312) and Sc at (0.000, 0.413, 0.750).

The energy of formation is 0.1288 eV/atom. Its crystal system is monoclinic. The value obtained for the density of states at the Fermi level is 13.4 states/eV/f.u. The total energy is -183.31 eV/cell.

---

# 9
Material: Pm2DyTm2Sc2
Method: DFT, PBE-GGA
State: relaxed

The structure belongs to space group C2/m (No. 12); the cell edges are 11.347, 3.417 and 11.520 Å and the angles 90.00°, 108.63° and 90.00°. Symmetry generates all atoms from Pm at (0.173, 0.000, 0.089), Dy at (0.000, 0.500, 0.500), Tm at (0.045, 0.000, 0.767) and Sc at (0.229, 0.500, 0.369).

The energy of formation is 0.1081 eV/atom. Its crystal system is monoclinic. The value obtained for the density of states at the Fermi level is 12.2 states/eV/f.u. The total energy is -69.90 eV/cell.

---

# 10
Material: Pm4Dy2TmSc
Method: DFT, PBE-GGA
State: relaxed

The structure belongs to space group P4/mmm (No. 123); the cell edges are 5.069, 5.069 and 9.874 Å and the angles 90.00°, 90.00° and 90.00°. Symmetry generates all atoms from Pm at (0.000, 0.500, 0.246), Dy at (0.000, 0.000, 0.000), Dy at (0.500, 0.500, 0.500), Tm at (0.000, 0.000, 0.500) and Sc at (0.500, 0.500, 0.000).

The energy of formation is 0.0289 eV/atom. Its crystal system is tetragonal. The value obtained for the density of states at the Fermi level is 10.8 states/eV/f.u. The total energy is -38.78 eV/cell.

---

# 11
Material: Pm4DyTm2Sc
Method: DFT, PBE-GGA
State: relaxed

The structure belongs to space group Pmmm (No. 47); the cell edges are 5.059, 5.071 and 9.829 Å and the angles 90.00°, 90.00° and 90.00°. Symmetry generates all atoms from Pm at (0.000, 0.000, 0.245), Pm at (0.500, 0.500, 0.245), Dy at (0.000, 0.500, 0.500), Tm at (0.000, 0.500, 0.000), Tm at (0.500, 0.000, 0.500) and Sc at (0.500, 0.000, 0.000).

The energy of formation is 0.0288 eV/atom. Its crystal system is orthorhombic. The value obtained for the density of states at the Fermi level is 11.0 states/eV/f.u. The total energy is -38.65 eV/cell.

---

# 12
Material: Pm6Dy2Tm3Sc
Method: DFT, PBE-GGA
State: relaxed

The structure belongs to space group C2/m (No. 12); the cell edges are 6.186, 10.712 and 11.675 Å and the angles 90.00°, 100.14° and 90.00°. Symmetry generates all atoms from Pm at (0.248, 0.000, 0.251), Pm at (0.248, 0.165, 0.749), Dy at (0.000, 0.333, 0.500), Tm at (0.000, 0.167, 0.000), Tm at (0.000, 0.500, 0.000) and Sc at (0.000, 0.000, 0.500).

The energy of formation is 0.0245 eV/atom. Its crystal system is monoclinic. The value obtained for the density of states at the Fermi level is 13.2 states/eV/f.u. The total energy is -114.32 eV/cell.

---

# 13
Material: PmDyTm5Sc2
Method: DFT, PBE-GGA
State: relaxed

The structure belongs to space group Cmc2_1 (No. 36); the cell edges are 5.530, 21.197 and 9.277 Å and the angles 90.00°, 90.00° and 90.00°. Symmetry generates all atoms from Pm at (0.000, 0.097, 0.000), Dy at (0.000, 0.311, 0.602), Tm at (0.000, 0.031, 0.331), Tm at (0.000, 0.109, 0.626), Tm at (0.000, 0.192, 0.304), Tm at (0.000, 0.236, 0.920), Tm at (0.000, 0.492, 0.605), Sc at (0.000, 0.358, 0.277) and Sc at (0.000, 0.387, 0.907).

The energy of formation is 0.1729 eV/atom. Its crystal system is orthorhombic. The value obtained for the density of states at the Fermi level is 13.5 states/eV/f.u. The total energy is -171.27 eV/cell.

---

# 14
Material: PmDy2Tm6Sc3
Method: DFT, PBE-GGA
State: relaxed

The structure belongs to space group C2/m (No. 12); the cell edges are 6.001, 10.388 and 11.401 Å and the angles 90.00°, 100.08° and 90.00°. Symmetry generates all atoms from Pm at (0.000, 0.000, 0.000), Dy at (0.000, 0.333, 0.000), Tm at (0.246, 0.333, 0.740), Tm at (0.247, 0.000, 0.740), Sc at (0.000, 0.167, 0.500) and Sc at (0.000, 0.500, 0.500).

The energy of formation is 0.0444 eV/atom. Its crystal system is monoclinic. The value obtained for the density of states at the Fermi level is 18.1 states/eV/f.u. The total energy is -118.49 eV/cell.

---

# 15
Material: Pm6DyTm2Sc3
Method: DFT, PBE-GGA
State: relaxed

The structure belongs to space group C2/m (No. 12); the cell edges are 6.128, 10.607 and 11.471 Å and the angles 90.00°, 100.23° and 90.00°. Symmetry generates all atoms from Pm at (0.247, 0.167, 0.242), Pm at (0.248, 0.500, 0.242), Dy at (0.000, 0.500, 0.500), Tm at (0.000, 0.167, 0.500), Sc at (0.000, 0.000, 0.000) and Sc at (0.000, 0.333, 0.000).

The energy of formation is 0.0438 eV/atom. Its crystal system is monoclinic. The value obtained for the density of states at the Fermi level is 13.5 states/eV/f.u. The total energy is -121.04 eV/cell.

---

# 16
Material: PmDy6Tm2Sc
Method: DFT, PBE-GGA
State: relaxed

The structure belongs to space group C2/c (No. 15); the cell edges are 9.216, 14.937 and 9.063 Å and the angles 90.00°, 94.07° and 90.00°. Symmetry generates all atoms from Pm at (0.000, 0.032, 0.250), Dy at (0.052, 0.177, 0.945), Dy at (0.097, 0.382, 0.106), Dy at (0.230, 0.219, 0.308), Tm at (0.240, 0.447, 0.445) and Sc at (0.000, 0.422, 0.750).

The energy of formation is 0.1295 eV/atom. Its crystal system is monoclinic. The value obtained for the density of states at the Fermi level is 14.6 states/eV/f.u. The total energy is -185.37 eV/cell.

---

# 17
Material: PmDy2TmSc4
Method: DFT, PBE-GGA
State: relaxed

The structure belongs to space group C2/c (No. 15); the cell edges are 13.025, 12.657 and 6.518 Å and the angles 90.00°, 120.03° and 90.00°. Symmetry generates all atoms from Pm at (0.250, 0.250, 0.000), Dy at (0.000, 0.000, 0.000), Dy at (0.250, 0.250, 0.500), Tm at (0.000, 0.500, 0.000), Sc at (0.000, 0.252, 0.001) and Sc at (0.248, 0.500, 0.498).

The energy of formation is 0.4390 eV/atom. Its crystal system is monoclinic. The value obtained for the density of states at the Fermi level is 16.8 states/eV/f.u. The total energy is -160.96 eV/cell.

---

# 18
Material: Pm6DyTm3Sc2
Method: DFT, PBE-GGA
State: relaxed

The structure belongs to space group C2/m (No. 12); the cell edges are 6.151, 10.650 and 11.567 Å and the angles 90.00°, 100.19° and 90.00°. Symmetry generates all atoms from Pm at (0.246, 0.000, 0.246), Pm at (0.249, 0.168, 0.754), Dy at (0.000, 0.500, 0.000), Tm at (0.000, 0.000, 0.500), Tm at (0.000, 0.333, 0.500) and Sc at (0.000, 0.167, 0.000).

The energy of formation is 0.0346 eV/atom. Its crystal system is monoclinic. The value obtained for the density of states at the Fermi level is 13.3 states/eV/f.u. The total energy is -117.54 eV/cell.

---

# 19
Material: Pm2DyTm4Sc
Method: DFT, PBE-GGA
State: relaxed

The structure belongs to space group P4/mmm (No. 123); the cell edges are 4.973, 4.973 and 9.872 Å and the angles 90.00°, 90.00° and 90.00°. Symmetry generates all atoms from Pm at (0.000, 0.000, 0.000), Pm at (0.500, 0.500, 0.500), Dy at (0.000, 0.000, 0.500), Tm at (0.000, 0.500, 0.245) and Sc at (0.500, 0.500, 0.000).

The energy of formation is 0.0362 eV/atom. Its crystal system is tetragonal. The value obtained for the density of states at the Fermi level is 11.9 states/eV/f.u. The total energy is -38.03 eV/cell.

---

# 20
Material: Pm2Dy6Tm3Sc
Method: DFT, PBE-GGA
State: relaxed

The structure belongs to space group C2/m (No. 12); the cell edges are 6.099, 10.559 and 11.688 Å and the angles 90.00°, 99.98° and 90.00°. Symmetry generates all atoms from Pm at (0.000, 0.167, 0.000), Dy at (0.247, 0.500, 0.748), Dy at (0.249, 0.335, 0.251), Tm at (0.000, 0.000, 0.500), Tm at (0.000, 0.334, 0.500) and Sc at (0.000, 0.500, 0.000).

The energy of formation is 0.0273 eV/atom. Its crystal system is monoclinic. The value obtained for the density of states at the Fermi level is 16.0 states/eV/f.u. The total energy is -113.06 eV/cell.

---

# 21
Material: PmDyTmSc
Method: DFT, PBE-GGA
State: relaxed

The structure belongs to space group Cm (No. 8); the cell edges are 12.047, 5.606 and 3.771 Å and the angles 90.00°, 108.21° and 90.00°. Symmetry generates all atoms from Pm at (0.000, 0.000, 0.000), Dy at (0.229, 0.500, 0.228), Tm at (0.266, 0.000, 0.765) and Sc at (0.496, 0.000, 0.495).

The energy of formation is 0.0949 eV/atom. Its crystal system is monoclinic. The calculation puts the energy above the most stable polymorph in this dataset at 0 meV/atom. The value obtained for the density of states at the Fermi level is 6.7 states/eV/f.u. The total energy is -39.55 eV/cell.